# YTl2I6

A relaxed structure of YTl2I6 (GGA-PBE, the Alexandria database).

Unit cell a=7.9085 b=8.5173 c=14.0625 alpha=90.00 beta=121.06 gamma=90.00
Closest atoms and distances in Å follow each position.
Fractional positions:
Y1 0.0000 0.0000 0.0000  6 I 3.03-3.06
Y2 0.0000 0.5000 0.5000  6 I 3.03-3.06
Tl1 0.3405 0.1192 0.8087  5 I 3.32-3.50
Tl2 0.3405 0.3808 0.3087  5 I 3.32-3.50
Tl3 0.6595 0.6192 0.6913  5 I 3.32-3.50
Tl4 0.6595 0.8808 0.1913  5 I 3.32-3.50
I1 0.0812 0.0470 0.2354  1 Y 3.06, 2 Tl 3.34-3.37
I2 0.0812 0.4530 0.7354  1 Y 3.06, 2 Tl 3.34-3.37
I3 0.2294 0.6948 0.0738  1 Y 3.03, 1 Tl 3.32
I4 0.2294 0.8052 0.5738  1 Y 3.03, 1 Tl 3.32
I5 0.3669 0.1911 0.0609  1 Y 3.04, 1 Tl 3.36
I6 0.3669 0.3089 0.5609  1 Y 3.04, 1 Tl 3.36
I7 0.6331 0.6911 0.4391  1 Y 3.04, 1 Tl 3.36
I8 0.6331 0.8089 0.9391  1 Y 3.04, 1 Tl 3.36
I9 0.7706 0.1948 0.4262  1 Y 3.03, 1 Tl 3.32
I10 0.7706 0.3052 0.9262  1 Y 3.03, 1 Tl 3.32
I11 0.9188 0.5470 0.2646  1 Y 3.06, 2 Tl 3.34-3.37
I12 0.9188 0.9530 0.7646  1 Y 3.06, 2 Tl 3.34-3.37

Space-group type   P2_1/c (14)
Final energy   -56.421 eV for the cell shown

---

# Ca4AsBr5

A relaxed structure of Ca4AsBr5 (GGA-PBE, the Alexandria database).

Unit cell a=9.4915 b=9.4915 c=8.4440 alpha=104.01 beta=104.01 gamma=26.04
Closest atoms and distances in Å follow each position.
Fractional positions:
Ca1 0.0011 0.0011 0.2366  2 As 2.92, 4 Br 2.95-3.09
Ca2 0.3385 0.3385 0.8986  1 As 2.90, 5 Br 2.90-3.05
Ca3 0.6615 0.6615 0.1014  1 As 2.90, 5 Br 2.90-3.05
Ca4 0.9989 0.9989 0.7634  2 As 2.92, 4 Br 2.95-3.09
As1 0.5000 0.5000 0.0000  6 Ca 2.90-2.92
Br1 0.1658 0.1658 0.3348  3 Ca 2.90-2.95
Br2 0.1700 0.1700 0.8567  4 Ca 3.00-3.07
Br3 0.5000 0.5000 0.5000  4 Ca 3.09
Br4 0.8300 0.8300 0.1433  4 Ca 3.00-3.07
Br5 0.8342 0.8342 0.6652  3 Ca 2.90-2.95

Space-group type   C2/m (12)
Final energy   -39.635 eV for the cell shown

---

Short version: energy relative to the elements, uncorrected = -0.857 -1.861 eV/atom, in the order given.
Short version: density = 5153 3258 kg/m3, in the order given.